Below is GdPtRh2 after structural relaxation, with properties calculated at the GGA-PBE level.

Values from the calculation:
For the raw total energy, the calculation gives -9.3414 eV/atom. The formation enthalpy at 0 K comes out at -0.635 eV/atom. For the total magnetic moment, the calculation gives 7.06 μB per cell.

Geometry as extended XYZ:
```
4
Lattice="4.130 0.000 0.000 0.000 4.130 0.000 0.000 0.000 4.019" Properties=species:S:1:pos:R:3 pbc="T T T"
Gd 0.000 0.000 0.000
Pt 2.065 2.065 0.000
Rh 0.000 2.065 2.010
Rh 2.065 0.000 2.010
```

=====

Below is V8Ga2Ge after structural relaxation, with properties calculated at the GGA-PBE level.

Values from the calculation:
For the raw total energy, the calculation gives -7.2229 eV/atom. The formation enthalpy at 0 K comes out at 0.379 eV/atom. For the total magnetic moment, the calculation gives 0.00 μB per cell.

Geometry as extended XYZ:
```
11
Lattice="4.818 -4.139 0.000 4.818 4.139 0.000 -1.328 0.000 4.440" Properties=species:S:1:pos:R:3 pbc="T T T"
V 0.300 0.000 1.275
V 3.717 2.196 0.687
V 0.965 0.000 3.928
V 4.591 2.196 3.752
V 3.717 -2.196 0.687
V 7.343 0.000 0.511
V 4.591 -2.196 3.752
V 8.008 0.000 3.165
Ga 2.761 0.000 2.046
Ga 5.547 0.000 2.394
Ge 4.818 0.000 0.000
```

=====

Below is Al6W after structural relaxation, with properties calculated at the GGA-PBE level.

Values from the calculation:
For the raw total energy, the calculation gives -5.1116 eV/atom. The formation enthalpy at 0 K comes out at -0.053 eV/atom. For the total magnetic moment, the calculation gives 0.00 μB per cell.

Geometry as extended XYZ:
```
14
Lattice="3.859 -3.404 0.000 3.859 3.404 0.000 0.000 0.000 9.076" Properties=species:S:1:pos:R:3 pbc="T T T"
Al 2.477 1.961 2.269
Al 3.859 2.561 5.481
Al 3.859 2.561 8.133
Al 2.518 0.000 0.000
Al 2.518 0.000 4.538
Al 5.241 1.961 2.269
Al 2.477 -1.961 6.807
Al 5.200 0.000 0.000
Al 5.200 0.000 4.538
Al 3.859 -2.561 0.943
Al 3.859 -2.561 3.595
Al 5.241 -1.961 6.807
W 3.859 0.330 6.807
W 3.859 -0.330 2.269
```